Record 1
Computed, not measured: a relaxed Pa5Be3Au12 crystal at the PBE level of DFT.

For the total magnetization, the calculation gives 46.093 Bohr magnetons per cell. The value obtained for the final energy is -4.67 eV per atom. The calculated density comes out at 12.18 g/cm³.

abc: 15.697 15.697 15.697
angles: 90.00 90.00 90.00
Space group Ia-3d (No. 230)
Asymmetric unit:
1 Pa 0.000 0.000 0.000 [16 per cell]
2 Pa 0.000 0.250 0.375 [24 per cell]
3 Be 0.000 0.250 0.125 [24 per cell]
4 Au 0.018 0.104 0.646 [96 per cell]

=====

Record 2
Computed, not measured: a relaxed PaBe5Au7 crystal at the PBE level of DFT.

For the total magnetization, the calculation gives 0.000 Bohr magnetons per cell. The value obtained for the final energy is -4.11 eV per atom. The calculated density comes out at 13.85 g/cm³.

abc: 5.031 8.901 8.862
angles: 90.00 90.00 90.00
Space group Imm2 (No. 44)
Asymmetric unit:
1 Pa 0.000 0.000 0.000 [2 per cell]
2 Be 0.000 0.500 0.261 [2 per cell]
3 Be 0.244 0.245 0.736 [8 per cell]
4 Au 0.000 0.000 0.343 [2 per cell]
5 Au 0.000 0.000 0.675 [2 per cell]
6 Au 0.000 0.306 0.463 [4 per cell]
7 Au 0.000 0.339 0.018 [4 per cell]
8 Au 0.000 0.500 0.719 [2 per cell]

=====

Record 3
Computed, not measured: a relaxed Pa2BeAu crystal at the PBE level of DFT.

For the total magnetization, the calculation gives 0.002 Bohr magnetons per cell. The value obtained for the final energy is -6.13 eV per atom. The calculated density comes out at 13.17 g/cm³.

abc: 3.0466 3.0466 31.4344
angles: 90.00 90.00 120.00
Space group R-3m (No. 166, hexagonal axes)
Asymmetric unit:
1 Pa 0.0000 0.0000 0.0972 [6 per cell]
2 Be 0.0000 0.0000 0.5000 [3 per cell]
3 Au 0.0000 0.0000 0.0000 [3 per cell]

=====

Record 4
Computed, not measured: a relaxed PaBeAu2 crystal at the PBE level of DFT.

For the total magnetization, the calculation gives 0.001 Bohr magnetons per cell. The value obtained for the final energy is -5.16 eV per atom. The calculated density comes out at 13.61 g/cm³.

abc: 4.2113 4.2113 15.1034
angles: 90.00 90.00 120.00
Space group R-3m (No. 166, hexagonal axes)
Asymmetric unit:
1 Pa 0.0000 0.0000 0.0000 [3 per cell]
2 Be 0.0000 0.0000 0.5000 [3 per cell]
3 Au 0.0000 0.0000 0.2198 [6 per cell]

=====

Record 5
Computed, not measured: a relaxed PaBe2Au crystal at the PBE level of DFT.

For the total magnetization, the calculation gives 0.000 Bohr magnetons per cell. The value obtained for the final energy is -4.53 eV per atom. The calculated density comes out at 10.65 g/cm³.

abc: 2.8895 2.8895 28.8528
angles: 90.00 90.00 120.00
Space group R-3m (No. 166, hexagonal axes)
Asymmetric unit:
1 Pa 0.0000 0.0000 0.0000 [3 per cell]
2 Be 0.0000 0.0000 0.4173 [6 per cell]
3 Au 0.0000 0.0000 0.5000 [3 per cell]

=====

Record 6
Computed, not measured: a relaxed Pa2Be3Pt4Au crystal at the PBE level of DFT.

For the total magnetization, the calculation gives 0.758 Bohr magnetons per cell. The value obtained for the final energy is -6.48 eV per atom. The calculated density comes out at 14.62 g/cm³.

abc: 3.896 3.896 10.975
angles: 90.00 90.00 90.00
Space group P-4m2 (No. 115)
Asymmetric unit:
1 Pa 0.000 0.500 0.235 [2 per cell]
2 Be 0.000 0.500 0.886 [2 per cell]
3 Be 0.500 0.500 0.500 [1 per cell]
4 Pt 0.000 0.000 0.000 [1 per cell]
5 Pt 0.000 0.500 0.679 [2 per cell]
6 Pt 0.500 0.500 0.000 [1 per cell]
7 Au 0.000 0.000 0.500 [1 per cell]

=====

Record 7
Computed, not measured: a relaxed BePb2Au crystal at the PBE level of DFT.

For the total magnetization, the calculation gives 0.000 Bohr magnetons per cell. The value obtained for the final energy is -3.18 eV per atom. The calculated density comes out at 11.25 g/cm³.

abc: 4.250 5.300 8.133
angles: 90.00 90.00 90.00
Space group Immm (No. 71)
Asymmetric unit:
1 Be 0.000 0.000 0.000 [2 per cell]
2 Pb 0.000 0.500 0.278 [4 per cell]
3 Au 0.000 0.000 0.500 [2 per cell]

=====

Record 8
Computed, not measured: a relaxed BePbAu crystal at the PBE level of DFT.

For the total magnetization, the calculation gives 0.000 Bohr magnetons per cell. The value obtained for the final energy is -3.60 eV per atom. The calculated density comes out at 11.56 g/cm³.

abc: 4.048 4.048 7.241
angles: 90.00 90.00 90.00
Space group P4/nmm (No. 129, origin choice 2)
Asymmetric unit:
1 Be 0.250 0.750 0.000 [2 per cell]
2 Pb 0.250 0.250 0.344 [2 per cell]
3 Au 0.250 0.250 0.826 [2 per cell]

=====

Record 9
Computed, not measured: a relaxed BePb2Au crystal at the PBE level of DFT.

For the total magnetization, the calculation gives 0.000 Bohr magnetons per cell. The value obtained for the final energy is -3.52 eV per atom. The calculated density comes out at 11.26 g/cm³.

abc: 3.279 3.298 8.463
angles: 90.00 90.00 90.00
Space group Pmm2 (No. 25)
Asymmetric unit:
1 Be 0.000 0.000 0.000 [1 per cell]
2 Pb 0.000 0.000 0.361 [1 per cell]
3 Pb 0.500 0.500 0.732 [1 per cell]
4 Au 0.500 0.500 0.089 [1 per cell]

=====

Record 10
Computed, not measured: a relaxed Be2PbAu crystal at the PBE level of DFT.

For the total magnetization, the calculation gives 0.000 Bohr magnetons per cell. The value obtained for the final energy is -3.49 eV per atom. The calculated density comes out at 9.34 g/cm³.

abc: 6.964 4.047 5.364
angles: 90.00 96.97 90.00
Space group Cm (No. 8)
Asymmetric unit:
1 Be 0.000 0.000 0.000 [2 per cell]
2 Be 0.177 0.500 0.066 [2 per cell]
3 Pb 0.070 0.000 0.514 [2 per cell]
4 Au 0.347 0.000 0.092 [2 per cell]

=====

Record 11
Computed, not measured: a relaxed BePb2Au crystal at the PBE level of DFT.

For the total magnetization, the calculation gives 0.000 Bohr magnetons per cell. The value obtained for the final energy is -3.06 eV per atom. The calculated density comes out at 11.09 g/cm³.

abc: 7.190 7.190 7.190
angles: 90.00 90.00 90.00
Space group F-43m (No. 216)
Asymmetric unit:
1 Be 0.000 0.000 0.000 [4 per cell]
2 Pb 0.000 0.000 0.500 [4 per cell]
3 Pb 0.250 0.250 0.250 [4 per cell]
4 Au 0.250 0.250 0.750 [4 per cell]

=====

Record 12
Computed, not measured: a relaxed Be2PbAu crystal at the PBE level of DFT.

For the total magnetization, the calculation gives 0.000 Bohr magnetons per cell. The value obtained for the final energy is -3.21 eV per atom. The calculated density comes out at 9.54 g/cm³.

abc: 3.249 4.066 5.562
angles: 90.00 90.27 90.00
Space group P2/m (No. 10)
Asymmetric unit:
1 Be 0.235 0.000 0.345 [2 per cell]
2 Pb 0.500 0.500 0.000 [1 per cell]
3 Au 0.000 0.500 0.500 [1 per cell]

=====

Record 13
Computed, not measured: a relaxed BePb2Au crystal at the PBE level of DFT.

For the total magnetization, the calculation gives 0.000 Bohr magnetons per cell. The value obtained for the final energy is -3.25 eV per atom. The calculated density comes out at 11.01 g/cm³.

abc: 7.001 3.967 7.080
angles: 90.00 107.82 90.00
Space group C2/m (No. 12)
Asymmetric unit:
1 Be 0.000 0.000 0.000 [2 per cell]
2 Pb 0.238 0.500 0.218 [4 per cell]
3 Au 0.000 0.500 0.500 [2 per cell]

=====

Record 14
Computed, not measured: a relaxed Be2PbAu crystal at the PBE level of DFT.

For the total magnetization, the calculation gives 0.000 Bohr magnetons per cell. The value obtained for the final energy is -3.06 eV per atom. The calculated density comes out at 10.69 g/cm³.

abc: 5.964 6.656 3.303
angles: 90.00 90.00 90.00
Space group Cmmm (No. 65)
Asymmetric unit:
1 Be 0.250 0.250 0.000 [4 per cell]
2 Pb 0.000 0.000 0.500 [2 per cell]
3 Au 0.000 0.500 0.500 [2 per cell]

=====

Record 15
Computed, not measured: a relaxed Be2PbAu crystal at the PBE level of DFT.

For the total magnetization, the calculation gives 0.000 Bohr magnetons per cell. The value obtained for the final energy is -3.34 eV per atom. The calculated density comes out at 9.89 g/cm³.

abc: 3.305 3.526 12.169
angles: 90.00 90.00 90.00
Space group Imm2 (No. 44)
Asymmetric unit:
1 Be 0.000 0.000 0.000 [2 per cell]
2 Be 0.000 0.500 0.361 [2 per cell]
3 Pb 0.000 0.500 0.725 [2 per cell]
4 Au 0.000 0.000 0.492 [2 per cell]

=====

Record 16
Computed, not measured: a relaxed BePb2Au crystal at the PBE level of DFT.

For the total magnetization, the calculation gives 0.000 Bohr magnetons per cell. The value obtained for the final energy is -3.19 eV per atom. The calculated density comes out at 11.15 g/cm³.

abc: 5.068 5.068 3.596
angles: 90.00 90.00 90.00
Space group P4/mmm (No. 123)
Asymmetric unit:
1 Be 0.000 0.000 0.000 [1 per cell]
2 Pb 0.000 0.500 0.500 [2 per cell]
3 Au 0.500 0.500 0.000 [1 per cell]

=====

Record 17
Computed, not measured: a relaxed Be2PbAu crystal at the PBE level of DFT.

For the total magnetization, the calculation gives 0.000 Bohr magnetons per cell. The value obtained for the final energy is -3.06 eV per atom. The calculated density comes out at 10.06 g/cm³.

abc: 3.291 3.879 5.459
angles: 90.00 90.00 90.00
Space group Pmmm (No. 47)
Asymmetric unit:
1 Be 0.000 0.000 0.000 [1 per cell]
2 Be 0.500 0.000 0.500 [1 per cell]
3 Pb 0.000 0.500 0.500 [1 per cell]
4 Au 0.500 0.500 0.000 [1 per cell]

=====

Record 18
Computed, not measured: a relaxed Be2PbAu2 crystal at the PBE level of DFT.

For the total magnetization, the calculation gives 0.000 Bohr magnetons per cell. The value obtained for the final energy is -3.36 eV per atom. The calculated density comes out at 12.13 g/cm³.

abc: 7.558 7.558 2.969
angles: 90.00 90.00 90.00
Space group P4/mbm (No. 127)
Asymmetric unit:
1 Be 0.136 0.364 0.000 [4 per cell]
2 Pb 0.000 0.000 0.500 [2 per cell]
3 Au 0.140 0.640 0.500 [4 per cell]

=====

Record 19
Computed, not measured: a relaxed Be2PbAu2 crystal at the PBE level of DFT.

For the total magnetization, the calculation gives 0.000 Bohr magnetons per cell. The value obtained for the final energy is -3.42 eV per atom. The calculated density comes out at 11.60 g/cm³.

abc: 4.224 4.224 9.934
angles: 90.00 90.00 90.00
Space group I4/mmm (No. 139)
Asymmetric unit:
1 Be 0.000 0.000 0.125 [4 per cell]
2 Pb 0.000 0.000 0.500 [2 per cell]
3 Au 0.000 0.500 0.250 [4 per cell]

=====

Record 20
Computed, not measured: a relaxed Be2PbAu crystal at the PBE level of DFT.

For the total magnetization, the calculation gives 0.000 Bohr magnetons per cell. The value obtained for the final energy is -3.05 eV per atom. The calculated density comes out at 10.33 g/cm³.

abc: 3.651 3.651 10.188
angles: 90.00 90.00 90.00
Space group I-4m2 (No. 119)
Asymmetric unit:
1 Be 0.000 0.000 0.000 [2 per cell]
2 Be 0.000 0.500 0.250 [2 per cell]
3 Pb 0.000 0.500 0.750 [2 per cell]
4 Au 0.000 0.000 0.500 [2 per cell]

=====

Record 21
Computed, not measured: a relaxed BePb4Au crystal at the PBE level of DFT.

For the total magnetization, the calculation gives 0.000 Bohr magnetons per cell. The value obtained for the final energy is -2.90 eV per atom. The calculated density comes out at 9.49 g/cm³.

abc: 8.981 8.981 8.981
angles: 90.00 90.00 90.00
Space group F-43m (No. 216)
Asymmetric unit:
1 Be 0.000 0.000 0.000 [4 per cell]
2 Pb 0.125 0.125 0.625 [16 per cell]
3 Au 0.250 0.250 0.250 [4 per cell]

=====

Record 22
Computed, not measured: a relaxed Be3PbAu crystal at the PBE level of DFT.

For the total magnetization, the calculation gives 0.000 Bohr magnetons per cell. The value obtained for the final energy is -2.34 eV per atom. The calculated density comes out at 7.26 g/cm³.

abc: 4.621 4.621 4.621
angles: 90.00 90.00 90.00
Space group Pm-3m (No. 221)
Asymmetric unit:
1 Be 0.000 0.000 0.500 [3 per cell]
2 Pb 0.000 0.000 0.000 [1 per cell]
3 Au 0.500 0.500 0.500 [1 per cell]

=====

Record 23
Computed, not measured: a relaxed Be2PbAu crystal at the PBE level of DFT.

For the total magnetization, the calculation gives 0.000 Bohr magnetons per cell. The value obtained for the final energy is -3.07 eV per atom. The calculated density comes out at 9.81 g/cm³.

abc: 5.866 8.287 3.516
angles: 90.00 123.21 90.00
Space group C2/m (No. 12)
Asymmetric unit:
1 Be 0.250 0.250 0.000 [4 per cell]
2 Pb 0.000 0.000 0.000 [2 per cell]
3 Au 0.000 0.500 0.000 [2 per cell]

=====

Record 24
Computed, not measured: a relaxed Be2PbAu crystal at the PBE level of DFT.

For the total magnetization, the calculation gives 0.000 Bohr magnetons per cell. The value obtained for the final energy is -3.30 eV per atom. The calculated density comes out at 10.25 g/cm³.

abc: 3.203 3.203 6.668
angles: 90.00 90.00 90.00
Space group P4mm (No. 99)
Asymmetric unit:
1 Be 0.000 0.000 0.000 [1 per cell]
2 Be 0.500 0.500 0.180 [1 per cell]
3 Pb 0.000 0.000 0.450 [1 per cell]
4 Au 0.500 0.500 0.842 [1 per cell]